1.
## Sm2AlCl (GGA-PBE)

Data for crystalline Sm2AlCl at its relaxed geometry.

Summary:
formation energy (no corrections)	-0.818	eV per atom
theoretical density	6.17	g/cm3
DFT total energy	-4.575	eV per atom
V	24.45	Å³/atom

Lattice parameters (Å, degrees): 3.4275 3.4275 8.3238 90.00 90.00 90.00
Closest atoms and distances in Å follow each position.
Space group P4/mmm (No. 123)
Symmetry-distinct sites (fractional):
Sm 0.0000 0.0000 0.2364 [2 per cell]  4 Al 3.12, 4 Cl 3.27, 4 Sm 3.43
Al 0.5000 0.5000 0.0000 [1 per cell]  8 Sm 3.12, 4 Al 3.43
Cl 0.5000 0.5000 0.5000 [1 per cell]  8 Sm 3.27, 4 Cl 3.43

=====

2.
## TaPd2Pt5 (GGA-PBE)

Data for crystalline TaPd2Pt5 at its relaxed geometry.

Summary:
theoretical density	17.42	g/cm3
DFT total energy	-6.748	eV per atom
V	16.31	Å³/atom
energy of formation from the pure elements	-193	meV per atom

Lattice parameters (Å, degrees): 6.8699 6.8699 11.0596 90.00 90.00 90.00
Closest atoms and distances in Å follow each position.
Space group I4/mcm (No. 140)
Symmetry-distinct sites (fractional):
Ta 0.0000 0.0000 0.2500 [4 per cell]  10 Pt 2.76-2.77
Pd 0.1448 0.3552 0.0000 [8 per cell]  8 Pt 2.64-2.74, 1 Pd 2.81
Pt 0.0000 0.0000 0.0000 [4 per cell]  4 Pd 2.64, 2 Ta 2.76
Pt 0.1499 0.3501 0.3327 [16 per cell]  4 Pt 2.67-2.91, 3 Pd 2.72-2.74, 2 Ta 2.77

=====

3.
## NaYC (GGA-PBE)

Data for crystalline NaYC at its relaxed geometry.

Summary:
theoretical density	3.59	g/cm3
DFT total energy	-4.981	eV per atom
V	19.12	Å³/atom
energy of formation from the pure elements	688	meV per atom

Lattice parameters (Å, degrees): 5.9016 6.3342 6.1385 90.00 90.00 90.00
Closest atoms and distances in Å follow each position.
Space group Imma (No. 74)
Symmetry-distinct sites (fractional):
Na 0.0000 0.2500 0.0488 [4 per cell]  2 C 2.35
Y 0.0000 0.0000 0.5000 [4 per cell]  4 C 2.65
C 0.2500 0.2500 0.7500 [4 per cell]  2 Na 2.35

=====

4.
## Tb6Dy2Er3Zr (GGA-PBE)

Data for crystalline Tb6Dy2Er3Zr at its relaxed geometry.

Summary:
theoretical density	8.50	g/cm3
DFT total energy	-4.891	eV per atom
V	30.48	Å³/atom
energy of formation from the pure elements	44	meV per atom

Lattice parameters (Å, degrees): 6.0817 10.5148 11.6125 90.00 99.95 90.00
Closest atoms and distances in Å follow each position.
Space group C2/m (No. 12)
Symmetry-distinct sites (fractional):
Tb 0.2450 0.0000 0.2546 [4 per cell]  1 Zr 3.44, 6 Tb 3.44-3.54, 2 Dy 3.47, 3 Er 3.54-3.57
Tb 0.2455 0.1636 0.7459 [8 per cell]  6 Tb 3.44-3.54, 1 Zr 3.45, 2 Dy 3.48, 3 Er 3.53-3.57
Dy 0.0000 0.3332 0.5000 [4 per cell]  6 Tb 3.47-3.48, 3 Zr 3.50-3.51, 3 Dy 3.51
Er 0.0000 0.1665 0.0000 [4 per cell]  6 Er 3.50-3.51, 6 Tb 3.53-3.57
Er 0.0000 0.5000 0.0000 [2 per cell]  6 Er 3.51, 6 Tb 3.53-3.57
Zr 0.0000 0.0000 0.5000 [2 per cell]  6 Tb 3.44-3.45, 6 Dy 3.50-3.51

=====

5.
## ZrTaIr (GGA-PBE)

Data for crystalline ZrTaIr at its relaxed geometry.

Summary:
theoretical density	12.16	g/cm3
DFT total energy	-10.000	eV per atom
V	21.14	Å³/atom
energy of formation from the pure elements	-246	meV per atom

Lattice parameters (Å, degrees): 6.3302 6.3302 6.3302 90.00 90.00 90.00
Closest atoms and distances in Å follow each position.
Space group F-43m (No. 216)
Symmetry-distinct sites (fractional):
Zr 0.0000 0.0000 0.0000 [4 per cell]  4 Ir 2.74
Ta 0.0000 0.0000 0.5000 [4 per cell]  4 Ir 2.74
Ir 0.2500 0.2500 0.2500 [4 per cell]  4 Zr 2.74, 4 Ta 2.74

=====

6.
## SmZnGa3Cu (GGA-PBE)

Data for crystalline SmZnGa3Cu at its relaxed geometry.

Summary:
theoretical density	7.02	g/cm3
DFT total energy	-3.316	eV per atom
V	19.27	Å³/atom
energy of formation from the pure elements	-121	meV per atom

Lattice parameters (Å, degrees): 6.0378 12.7871 5.9896 90.00 90.00 90.00
Closest atoms and distances in Å follow each position.
Space group Cmcm (No. 63)
Symmetry-distinct sites (fractional):
Sm 0.0000 0.2026 0.2500 [4 per cell]  1 Cu 2.81, 2 Zn 3.06, 2 Ga 3.13
Zn 0.0000 0.1537 0.7500 [4 per cell]  5 Ga 2.65-2.78
Ga 0.0000 0.3611 0.7500 [4 per cell]  1 Zn 2.65, 1 Cu 2.77, 4 Ga 2.90
Ga 0.2125 0.0000 0.0000 [8 per cell]  2 Cu 2.50, 1 Ga 2.57, 2 Zn 2.78
Cu 0.0000 0.4224 0.2500 [4 per cell]  5 Ga 2.50-2.77

=====

Question: Look up the V of the second one.
Answer: 16.31 Å³/atom